No. 1
DFT (PBE) results for an optimized crystal structure of BiSICl2.

Polymorph energy (0 for the lowest one) (eV/atom): 0.578
E_form (uncorrected) (eV/atom): 0.4790

```
data_BiSICl2
_chemical_formula_sum 'Bi1 S1 I1 Cl2'
_space_group_name_H-M_alt 'P 4/m m m'
_space_group_IT_number 123
_space_group_name_Hall '-P 4 2'
_cell_length_a 5.466
_cell_length_b 5.466
_cell_length_c 5.276
_cell_angle_alpha 90.00
_cell_angle_beta 90.00
_cell_angle_gamma 90.00
loop_
_atom_site_label
_atom_site_type_symbol
_atom_site_fract_x
_atom_site_fract_y
_atom_site_fract_z
_atom_site_occupancy
Bi1 Bi 0.000 0.000 0.000 1
S1 S 0.500 0.500 0.000 1
I1 I 0.500 0.500 0.500 1
Cl1 Cl 0.000 0.500 0.500 1
```



No. 2
DFT (PBE) results for an optimized crystal structure of TbNdSm5Y2.

```
data_TbNdSm5Y2
_chemical_formula_sum 'Tb4 Nd4 Sm20 Y8'
_space_group_name_H-M_alt 'C m c 21'
_space_group_IT_number 36
_space_group_name_Hall 'C 2c -2'
_cell_length_a 5.681
_cell_length_b 20.256
_cell_length_c 10.718
_cell_angle_alpha 90.00
_cell_angle_beta 90.00
_cell_angle_gamma 90.00
loop_
_atom_site_label
_atom_site_type_symbol
_atom_site_fract_x
_atom_site_fract_y
_atom_site_fract_z
_atom_site_occupancy
Tb1 Tb 0.000 0.088 0.000 1
Nd1 Nd 0.000 0.297 0.553 1
Sm1 Sm 0.000 0.022 0.285 1
Sm2 Sm 0.000 0.105 0.570 1
Sm3 Sm 0.000 0.202 0.248 1
Sm4 Sm 0.000 0.217 0.851 1
Sm5 Sm 0.000 0.482 0.569 1
Y1 Y 0.000 0.383 0.867 1
Y2 Y 0.000 0.390 0.280 1
```



No. 3
DFT (PBE) results for an optimized crystal structure of LiTbScOs.

```
data_LiTbScOs
_chemical_formula_sum 'Li4 Tb4 Sc4 Os4'
_space_group_name_H-M_alt 'F -4 3 m'
_space_group_IT_number 216
_space_group_name_Hall 'F -4 2 3'
_cell_length_a 6.742
_cell_length_b 6.742
_cell_length_c 6.742
_cell_angle_alpha 90.00
_cell_angle_beta 90.00
_cell_angle_gamma 90.00
loop_
_atom_site_label
_atom_site_type_symbol
_atom_site_fract_x
_atom_site_fract_y
_atom_site_fract_z
_atom_site_occupancy
Li1 Li 0.000 0.000 0.000 1
Tb1 Tb 0.250 0.250 0.250 1
Sc1 Sc 0.250 0.250 0.750 1
Os1 Os 0.000 0.000 0.500 1
```



No. 4
DFT (PBE) results for an optimized crystal structure of Pm5Nd5Mg2.

```
data_Pm5Nd5Mg2
_chemical_formula_sum 'Pm10 Nd10 Mg4'
_space_group_name_H-M_alt 'C 1 2/m 1'
_space_group_IT_number 12
_space_group_name_Hall '-C 2y'
_cell_length_a 15.236
_cell_length_b 5.093
_cell_length_c 11.402
_cell_angle_alpha 90.00
_cell_angle_beta 116.44
_cell_angle_gamma 90.00
loop_
_atom_site_label
_atom_site_type_symbol
_atom_site_fract_x
_atom_site_fract_y
_atom_site_fract_z
_atom_site_occupancy
Pm1 Pm 0.000 0.000 0.000 1
Pm2 Pm 0.087 0.000 0.759 1
Pm3 Pm 0.166 0.000 0.497 1
Nd1 Nd 0.000 0.500 0.500 1
Nd2 Nd 0.080 0.500 0.244 1
Nd3 Nd 0.248 0.000 0.241 1
Mg1 Mg 0.169 0.500 0.000 1
```



No. 5
DFT (PBE) results for an optimized crystal structure of Ta2PbSe.

Polymorph energy (0 for the lowest one) (eV/atom): 0.643
E_form (uncorrected) (eV/atom): 0.5770

```
data_Ta2PbSe
_chemical_formula_sum 'Ta4 Pb2 Se2'
_space_group_name_H-M_alt 'C 1 2/m 1'
_space_group_IT_number 12
_space_group_name_Hall '-C 2y'
_cell_length_a 5.991
_cell_length_b 9.105
_cell_length_c 3.219
_cell_angle_alpha 90.00
_cell_angle_beta 112.93
_cell_angle_gamma 90.00
loop_
_atom_site_label
_atom_site_type_symbol
_atom_site_fract_x
_atom_site_fract_y
_atom_site_fract_z
_atom_site_occupancy
Ta1 Ta 0.250 0.250 0.000 1
Pb1 Pb 0.000 0.000 0.500 1
Se1 Se 0.000 0.500 0.500 1
```



No. 6
DFT (PBE) results for an optimized crystal structure of Tb4Er19Tm6.

```
data_Tb4Er19Tm6
_chemical_formula_sum 'Tb8 Er38 Tm12'
_space_group_name_H-M_alt 'I 2 3'
_space_group_IT_number 197
_space_group_name_Hall 'I 2 2 3'
_cell_length_a 12.319
_cell_length_b 12.319
_cell_length_c 12.319
_cell_angle_alpha 90.00
_cell_angle_beta 90.00
_cell_angle_gamma 90.00
loop_
_atom_site_label
_atom_site_type_symbol
_atom_site_fract_x
_atom_site_fract_y
_atom_site_fract_z
_atom_site_occupancy
Tb1 Tb 0.178 0.178 0.178 1
Er1 Er 0.000 0.000 0.000 1
Er2 Er 0.000 0.000 0.264 1
Er3 Er 0.063 0.276 0.736 1
Tm1 Tm 0.000 0.128 0.500 1
```



| no. | final energy (eV for the cell shown) |
| --- | --- |
| 1 | -10.86 |
| 2 | -178.52 |
| 3 | -100.42 |
| 4 | -101.36 |
| 5 | -57.18 |
| 6 | -240.95 |